Entry 1:
Here is a relaxed structure of CsTiI2Br from the Alexandria database. Energies are from GGA-PBE.

Cell: 5.9212 5.9212 5.3026 Å, 90.00 90.00 90.00°
Sites, in units of the cell vectors:
Cs1 0.0000 0.0000 0.0000
Ti1 0.5000 0.5000 0.5000
I1 0.0000 0.5000 0.5000
I2 0.5000 0.0000 0.5000
Br1 0.5000 0.5000 0.0000

Computed properties:
Raw formation energy: -1.05 eV per atom


Entry 2:
Here is a relaxed structure of Cs2TiI2Br4 from the Alexandria database. Energies are from GGA-PBE.

Cell: 7.9813 7.9813 7.9813 Å, 119.16 119.16 91.47°
Sites, in units of the cell vectors:
Cs1 0.2500 0.7500 0.5000
Cs2 0.7500 0.2500 0.5000
Ti1 0.0000 0.0000 0.0000
I1 0.2515 0.2515 0.0000
I2 0.7485 0.7485 0.0000
Br1 0.2209 0.2209 0.4419
Br2 0.2209 0.7791 0.0000
Br3 0.7791 0.2209 0.0000
Br4 0.7791 0.7791 0.5581

Computed properties:
Raw formation energy: -1.38 eV per atom


Entry 3:
Here is a relaxed structure of Cs2TiIBr6 from the Alexandria database. Energies are from GGA-PBE.

Cell: 8.3474 8.3474 8.3474 Å, 116.58 116.58 96.03°
Sites, in units of the cell vectors:
Cs1 0.2500 0.7500 0.5000
Cs2 0.7500 0.2500 0.5000
Ti1 0.0000 0.0000 0.0000
I1 0.5000 0.5000 0.0000
Br1 0.2029 0.2029 0.4058
Br2 0.2029 0.7971 0.0000
Br3 0.2312 0.2312 0.0000
Br4 0.7688 0.7688 0.0000
Br5 0.7971 0.2029 0.0000
Br6 0.7971 0.7971 0.5942

Computed properties:
Raw formation energy: -1.21 eV per atom